No. 1
A plane-wave DFT calculation with PBE-GGA was carried out for crystalline La2Si2PbSe8 at its relaxed geometry.

Values from the calculation:
Crystal system: monoclinic
Final energy in hartree per atom: -0.1885
Density of states at the Fermi level in states/eV/atom: 0.000
SG: No. 9

Lattice parameters (Å, degrees): 9.491 9.491 10.774 65.46 65.46 60.56
Fractional coordinates of all 26 atoms:
Se (0.886, 0.228, 0.930)
La (0.246, 0.443, 0.251)
Se (0.704, 0.959, 0.936)
La (0.942, 0.056, 0.245)
La (0.056, 0.942, 0.745)
Se (0.959, 0.704, 0.436)
Si (0.856, 0.325, 0.478)
Se (0.523, 0.620, 0.078)
Se (0.097, 0.581, 0.764)
Se (0.228, 0.886, 0.430)
Se (0.090, 0.793, 0.057)
Se (0.620, 0.523, 0.578)
Se (0.262, 0.083, 0.046)
Pb (0.583, 0.744, 0.258)
Se (0.581, 0.097, 0.264)
Pb (0.744, 0.583, 0.758)
La (0.443, 0.246, 0.751)
Si (0.648, 0.171, 0.021)
Se (0.424, 0.401, 0.952)
Se (0.083, 0.262, 0.546)
Si (0.325, 0.856, 0.978)
Si (0.171, 0.648, 0.521)
Se (0.406, 0.929, 0.735)
Se (0.793, 0.090, 0.557)
Se (0.401, 0.424, 0.452)
Se (0.929, 0.406, 0.235)


No. 2
A plane-wave DFT calculation with PBE-GGA was carried out for crystalline BaNaBi at its relaxed geometry.

Values from the calculation:
Crystal system: orthorhombic
Final energy in hartree per atom: -0.1120
Density of states at the Fermi level in states/eV/atom: 0.061
SG: No. 63

Lattice parameters (Å, degrees): 5.933 6.076 7.355 90.00 90.00 119.23
Fractional coordinates of all 6 atoms:
Bi (0.660, 0.320, 0.250)
Ba (0.669, 0.338, 0.750)
Bi (0.340, 0.680, 0.750)
Na (0.000, 0.000, 0.500)
Ba (0.331, 0.662, 0.250)
Na (0.000, 0.000, 0.000)


No. 3
A plane-wave DFT calculation with PBE-GGA was carried out for crystalline Pm3BiPt at its relaxed geometry.

Values from the calculation:
Crystal system: cubic
Final energy in hartree per atom: -0.1993
Density of states at the Fermi level in states/eV/atom: 0.981
SG: No. 221

Lattice parameters (Å, degrees): 5.557 5.557 5.557 90.00 90.00 90.00
Fractional coordinates of all 5 atoms:
Pm (0.500, 0.000, 0.000)
Pm (0.000, 0.000, 0.500)
Pt (0.000, 0.000, 0.000)
Bi (0.500, 0.500, 0.500)
Pm (0.000, 0.500, 0.000)


Repeat the third record exactly.
A plane-wave DFT calculation with PBE-GGA was carried out for crystalline Pm3BiPt at its relaxed geometry.

Values from the calculation:
Crystal system: cubic
Final energy in hartree per atom: -0.1993
Density of states at the Fermi level in states/eV/atom: 0.981
SG: No. 221

Lattice parameters (Å, degrees): 5.557 5.557 5.557 90.00 90.00 90.00
Fractional coordinates of all 5 atoms:
Pm (0.500, 0.000, 0.000)
Pm (0.000, 0.000, 0.500)
Pt (0.000, 0.000, 0.000)
Bi (0.500, 0.500, 0.500)
Pm (0.000, 0.500, 0.000)